(1)
The following is a DFT calculation (PBE) of a relaxed La3TmCd crystal.

a = 6.626 Å, b = 6.626 Å, c = 13.706 Å
α = 90.30°, β = 90.30°, γ = 32.94°
Positions (direct):
La 0.025 0.025 0.328
La 0.241 0.241 0.741
La 0.458 0.458 0.116
La 0.542 0.542 0.884
La 0.759 0.759 0.259
La 0.975 0.975 0.672
Tm 0.359 0.359 0.476
Tm 0.641 0.641 0.524
Cd 0.177 0.177 0.060
Cd 0.823 0.823 0.940

## Properties
volume: 327.2 Å³/cell
space group: C2/m, No. 12

=====

(2)
The following is a DFT calculation (PBE) of a relaxed La3TmCd crystal.

a = 3.864 Å, b = 10.835 Å, c = 8.307 Å
α = 90.00°, β = 90.02°, γ = 90.00°
Positions (direct):
La 0.249 0.003 0.254
La 0.249 0.497 0.254
La 0.250 0.750 0.950
La 0.750 0.250 0.050
La 0.751 0.503 0.746
La 0.751 0.997 0.746
Tm 0.251 0.750 0.558
Tm 0.749 0.250 0.442
Cd 0.250 0.250 0.726
Cd 0.750 0.750 0.274

## Properties
volume: 347.9 Å³/cell
space group: P2_1/m, No. 11

=====

What should be chosen as the most stable of them? Choose (1).

=====

(1)
The following is a DFT calculation (PBE) of a relaxed LaTm3Cd crystal.

a = 3.687 Å, b = 6.786 Å, c = 12.470 Å
α = 86.45°, β = 89.98°, γ = 74.24°
Positions (direct):
La 0.238 0.022 0.251
La 0.762 0.978 0.749
Tm 0.034 0.431 0.687
Tm 0.144 0.212 0.953
Tm 0.367 0.767 0.522
Tm 0.633 0.233 0.478
Tm 0.856 0.788 0.047
Tm 0.966 0.569 0.313
Cd 0.454 0.593 0.871
Cd 0.546 0.407 0.129

## Properties
volume: 299.6 Å³/cell
space group: P-1, No. 2

=====

(2)
The following is a DFT calculation (PBE) of a relaxed LaTm3Cd crystal.

a = 8.644 Å, b = 8.644 Å, c = 10.898 Å
α = 90.00°, β = 90.00°, γ = 156.43°
Positions (direct):
La 0.021 0.979 0.750
La 0.979 0.021 0.250
Tm 0.159 0.841 0.009
Tm 0.159 0.841 0.491
Tm 0.294 0.706 0.250
Tm 0.706 0.294 0.750
Tm 0.841 0.159 0.509
Tm 0.841 0.159 0.991
Cd 0.357 0.643 0.750
Cd 0.643 0.357 0.250

## Properties
volume: 325.7 Å³/cell
space group: Cmcm, No. 63

=====

What should be chosen as the most stable of them? Choose (1).

=====

(1)
The following is a DFT calculation (PBE) of a relaxed LaTmZnCd crystal.

a = 3.637 Å, b = 3.637 Å, c = 7.803 Å
α = 90.00°, β = 90.00°, γ = 90.00°
Positions (direct):
La 0.000 0.000 0.000
Tm 0.000 0.000 0.461
Zn 0.500 0.500 0.260
Cd 0.500 0.500 0.704

## Properties
volume: 103.2 Å³/cell
space group: P4mm, No. 99

=====

(2)
The following is a DFT calculation (PBE) of a relaxed LaTmZnCd crystal.

a = 5.299 Å, b = 5.299 Å, c = 5.299 Å
α = 60.00°, β = 60.00°, γ = 60.00°
Positions (direct):
La 0.000 0.000 0.000
Tm 0.500 0.500 0.500
Zn 0.750 0.750 0.750
Cd 0.250 0.250 0.250

## Properties
volume: 105.2 Å³/cell
space group: F-43m, No. 216

=====

What should be chosen as the most stable of them? Choose (1).